(1)
# NiAgPt | the Alexandria database | PBE | optimized geometry
data_NiAgPt
_space_group_name_H-M_alt 'I m m 2'
_space_group_IT_number 44
_space_group_name_Hall 'I 2 -2'
_cell_length_a 2.7773
_cell_length_b 3.6394
_cell_length_c 8.9567
_cell_angle_alpha 90.00
_cell_angle_beta 90.00
_cell_angle_gamma 90.00
loop_
_atom_site_label
_atom_site_type_symbol
_atom_site_fract_x
_atom_site_fract_y
_atom_site_fract_z
Ni1 Ni 0.0000 0.0000 0.0000
Ag1 Ag 0.0000 0.0000 0.3231
Pt1 Pt 0.0000 0.0000 0.6344
# Density of states at the Fermi level, states/eV per atom: 1.47
# Energy above the most stable polymorph in this dataset, eV per atom: 0.072

---

(2)
# Hf2SbSe6 | the Alexandria database | PBE | optimized geometry
data_Hf2SbSe6
_space_group_name_H-M_alt 'C 1 2/m 1'
_space_group_IT_number 12
_space_group_name_Hall '-C 2y'
_cell_length_a 18.2466
_cell_length_b 3.7715
_cell_length_c 8.1613
_cell_angle_alpha 90.00
_cell_angle_beta 108.74
_cell_angle_gamma 90.00
loop_
_atom_site_label
_atom_site_type_symbol
_atom_site_fract_x
_atom_site_fract_y
_atom_site_fract_z
Hf1 Hf 0.1711 0.0000 0.3391
Sb1 Sb 0.0000 0.5000 0.0000
Se1 Se 0.0147 0.0000 0.2585
Se2 Se 0.1622 0.5000 0.1006
Se3 Se 0.1749 0.5000 0.5791
# Density of states at the Fermi level, states/eV per atom: 0.30
# ΔE_f (raw), eV per atom: -0.943

---

Number 1: DFT total energy -14.3 eV per formula unit, ρ 13.27 g/cm3. Number 2: DFT total energy -53.4 eV per formula unit, ρ 5.95 g/cm3.